Entry from Alexandria: an optimized crystal structure of LaNd2ErTm (PBE-GGA).

Unit cell a=6.401 b=8.989 c=6.385 alpha=106.15 beta=90.00 gamma=90.00
Sites, in units of the cell vectors:
La 0.000 0.000 0.000
La 0.000 0.000 0.500
Nd 0.685 0.318 0.670
Nd 0.315 0.682 0.330
Nd 0.315 0.318 0.170
Nd 0.685 0.682 0.830
Tm 0.833 0.500 0.250
Tm 0.167 0.500 0.750
Er 0.478 0.000 0.750
Er 0.522 0.000 0.250

Calculated values
* V: 35.3 Å³/atom
* total DFT energy (no corrections): -4.419 eV/atom
* crystal system: monoclinic
* DOS(E_F): 13.8 states/eV/cell



Entry from Alexandria: an optimized crystal structure of La2NdEr5Tm (PBE-GGA).

Unit cell a=5.643 b=10.221 c=10.756 alpha=90.00 beta=90.00 gamma=106.03
Sites, in units of the cell vectors:
Tm 0.201 0.403 0.012
Tm 0.799 0.597 0.512
Er 0.282 0.564 0.312
Er 0.298 0.596 0.709
Er 0.481 0.962 0.738
Er 0.614 0.228 0.520
Er 0.718 0.436 0.812
Er 0.702 0.404 0.209
Er 0.016 0.032 0.025
Er 0.519 0.038 0.238
Er 0.386 0.772 0.020
Er 0.984 0.968 0.525
La 0.115 0.230 0.317
La 0.886 0.772 0.232
La 0.114 0.228 0.732
La 0.885 0.770 0.817
Nd 0.417 0.833 0.461
Nd 0.583 0.167 0.961

Calculated values
* V: 33.1 Å³/atom
* total DFT energy (no corrections): -4.513 eV/atom
* crystal system: orthorhombic
* DOS(E_F): 24.1 states/eV/cell



Entry from Alexandria: an optimized crystal structure of La3NdErTm (PBE-GGA).

Unit cell a=5.215 b=8.077 c=10.913 alpha=115.58 beta=90.00 gamma=90.00
Sites, in units of the cell vectors:
La 0.250 0.128 0.956
La 0.750 0.380 0.207
La 0.750 0.872 0.044
La 0.750 0.371 0.541
La 0.250 0.629 0.459
La 0.250 0.620 0.793
Nd 0.750 0.879 0.707
Nd 0.250 0.121 0.293
Tm 0.750 0.372 0.874
Tm 0.250 0.628 0.126
Er 0.750 0.877 0.377
Er 0.250 0.123 0.623

Calculated values
* V: 34.6 Å³/atom
* total DFT energy (no corrections): -4.730 eV/atom
* crystal system: monoclinic
* DOS(E_F): 21.7 states/eV/cell



Computed energy relative to the elements, in the same sequence as the records: 0.281; 0.144; 0.034 eV/atom.